First-principles (PBE+U) data for a relaxed LiFeP2HO7 crystal, as listed in Alexandria.

Computed properties:
* energy relative to the lowest polymorph listed for this composition: 0.000 eV/atom
* E_tot: -0.2463 hartree per atom

Cell: 6.6447 10.8045 7.4989 Å, 88.21 84.03 94.37°
Fractional coordinates of all 48 atoms:
Li: 0.1301 0.5621 0.2992
Li: 0.1301 0.0621 0.7993
Li: 0.8699 0.4379 0.7007
Li: 0.8699 0.9379 0.2007
Fe: 0.3531 0.6935 0.5915
Fe: 0.6469 0.3065 0.4086
Fe: 0.3531 0.1935 0.0915
Fe: 0.6469 0.8065 0.9085
P: 0.1562 0.7730 0.9957
P: 0.1562 0.2730 0.4957
P: 0.8438 0.2270 0.0043
P: 0.8438 0.7270 0.5043
P: 0.3874 0.4100 0.7675
P: 0.3874 0.9100 0.2675
P: 0.6126 0.5900 0.2325
P: 0.6126 0.0900 0.7325
H: 0.1740 0.5792 0.9267
H: 0.1741 0.0792 0.4267
H: 0.8260 0.4208 0.0733
H: 0.8259 0.9208 0.5733
O: 0.0999 0.6277 0.0293
O: 0.0999 0.1277 0.5293
O: 0.9001 0.3723 0.9707
O: 0.9001 0.8723 0.4707
O: 0.0276 0.1540 0.0243
O: 0.0276 0.6540 0.5242
O: 0.9724 0.8460 0.9757
O: 0.9724 0.3460 0.4758
O: 0.2319 0.8060 0.1848
O: 0.2320 0.3060 0.6848
O: 0.7681 0.1940 0.8152
O: 0.7681 0.6940 0.3152
O: 0.2808 0.5319 0.7580
O: 0.2808 0.0319 0.2580
O: 0.7192 0.4681 0.2420
O: 0.7192 0.9681 0.7420
O: 0.3276 0.7948 0.8444
O: 0.3276 0.2948 0.3445
O: 0.6724 0.2052 0.1556
O: 0.6724 0.7052 0.6555
O: 0.3920 0.3619 0.9581
O: 0.3920 0.8619 0.4581
O: 0.6080 0.6381 0.0419
O: 0.6080 0.1381 0.5419
O: 0.4121 0.5856 0.3531
O: 0.4121 0.0856 0.8531
O: 0.5879 0.4144 0.6469
O: 0.5879 0.9144 0.1469